## LiBe2Ni (PBE)

Data for LiBe2Ni after structural relaxation.

Unit cell a=4.491 b=4.491 c=3.814 alpha=114.80 beta=114.80 gamma=33.12
Element x y z (fractional)
Li 0.000 0.000 0.000
Be 0.493 0.493 0.494
Be 0.764 0.764 0.262
Ni 0.229 0.229 0.727

* calculated formation energy: -0.0812 eV per atom
* electronic total energy: -3.8681 eV per atom